{
  "formula": "Cs2HOsCl6",
  "functional": "GGA-PBE",
  "state": "relaxed",
  "density_g_cm3": 3.75,
  "vol_a3_per_atom": 29.6,
  "magmom_total_mub_per_atom": 0.30,
  "energy_ev_per_atom": -3.600,
  "lattice_angstrom": [[-3.740, 3.740, 5.296], [3.740, -3.740, 5.296], [3.740, 3.740, -5.296]],
  "species": ["Cs", "Cs", "H", "Os", "Cl", "Cl", "Cl", "Cl", "Cl", "Cl"],
  "frac_coords": [[0.250, 0.750, 0.500], [0.750, 0.250, 0.500], [0.000, 0.000, 0.000], [0.500, 0.500, 0.000], [0.277, 0.277, 0.000], [0.277, 0.277, 0.554], [0.277, 0.723, 0.000], [0.723, 0.277, 0.000], [0.723, 0.723, 0.000], [0.723, 0.723, 0.446]]
}



{
  "formula": "CsHOsCl6",
  "functional": "GGA-PBE",
  "state": "relaxed",
  "density_g_cm3": 3.41,
  "vol_a3_per_atom": 29.1,
  "magmom_total_mub_per_atom": 0.22,
  "energy_ev_per_atom": -3.741,
  "lattice_angstrom": [[6.222, 0.000, 0.000], [0.281, 6.551, 0.000], [1.915, 1.840, 6.419]],
  "species": ["Cs", "H", "Os", "Cl", "Cl", "Cl", "Cl", "Cl", "Cl"],
  "frac_coords": [[0.000, 0.000, 0.000], [0.000, 0.500, 0.500], [0.500, 0.500, 0.500], [0.192, 0.347, 0.443], [0.270, 0.547, 0.811], [0.416, 0.837, 0.316], [0.584, 0.163, 0.684], [0.730, 0.453, 0.189], [0.808, 0.653, 0.557]]
}



{
  "formula": "Cs2PHCl6",
  "functional": "GGA-PBE",
  "state": "relaxed",
  "density_g_cm3": 2.99,
  "vol_a3_per_atom": 28.4,
  "magmom_total_mub_per_atom": 0.00,
  "energy_ev_per_atom": -3.037,
  "lattice_angstrom": [[-3.666, 3.666, 5.273], [3.666, -3.666, 5.273], [3.666, 3.666, -5.273]],
  "species": ["Cs", "Cs", "P", "H", "Cl", "Cl", "Cl", "Cl", "Cl", "Cl"],
  "frac_coords": [[0.250, 0.750, 0.500], [0.750, 0.250, 0.500], [0.000, 0.000, 0.000], [0.500, 0.500, 0.000], [0.219, 0.219, 0.000], [0.223, 0.223, 0.446], [0.223, 0.777, 0.000], [0.777, 0.223, 0.000], [0.777, 0.777, 0.554], [0.781, 0.781, 0.000]]
}